Computed, not measured: a relaxed structure of Ba2YV3O7 at the GGA+U level of DFT.

Computed properties:
The value obtained for the total energy is -97.6 eV per formula unit. For the volume, the calculation gives 187.2 Å³ per cell.

Cell: 3.8845 4.1403 11.6412 Å, 90.00 90.00 90.00°
Atoms (fractional coordinates):
Ba: 0.0000 0.0000 0.1741
Ba: 0.0000 0.0000 0.8259
Y: 0.0000 0.0000 0.5000
V: 0.5000 0.5000 0.0000
V: 0.5000 0.5000 0.3439
V: 0.5000 0.5000 0.6561
O: 0.0000 0.5000 0.3825
O: 0.0000 0.5000 0.6175
O: 0.5000 0.0000 0.0000
O: 0.5000 0.0000 0.3742
O: 0.5000 0.0000 0.6258
O: 0.5000 0.5000 0.1747
O: 0.5000 0.5000 0.8253